DFT (PBEsol) results for an optimized crystal structure of Y2ScTl2.

Cell and atoms, written as POSCAR:
```
Y2ScTl2
1.0
-0.183 -3.195 -2.948
-3.865 -4.463 5.077
-6.752 2.832 -2.650
Y Sc Tl
4 2 4
direct
0.500 0.171 0.671
0.500 0.671 0.829
0.500 0.829 0.329
0.500 0.329 0.171
0.000 0.000 0.000
0.000 0.500 0.500
0.000 0.366 0.866
0.000 0.866 0.634
0.000 0.634 0.134
0.000 0.134 0.366
```

Values from the calculation:
Magnetization: 0.00 μB/cell
Final energy: -5.497 eV per atom
Symmetry: No. 127
DFT formation energy: -0.39 eV per atom